No. 1
Computed, not measured: an optimized crystal structure of Tm2Ga2Ni3 at the GGA-PBE level of DFT.

```
data_Tm2Ga2Ni3
_space_group_name_H-M_alt 'I 21 3'
_space_group_IT_number 199
_space_group_name_Hall 'I 2b 2c 3'
_cell_length_a 7.940
_cell_length_b 7.940
_cell_length_c 7.940
_cell_angle_alpha 90.00
_cell_angle_beta 90.00
_cell_angle_gamma 90.00
loop_
_atom_site_label
_atom_site_fract_x
_atom_site_fract_y
_atom_site_fract_z
Tm1 0.004 0.496 0.504
Ga1 0.209 0.291 0.709
Ni1 0.000 0.250 0.220
```

Summary:
Calculated total energy in eV per atom: -5.023
Total magnetization in μB/cell: 0.000
Calculated volume in Å³/cell: 500.6

=====

No. 2
Computed, not measured: an optimized crystal structure of BaGa at the GGA-PBE level of DFT.

```
data_BaGa
_space_group_name_H-M_alt 'I m m 2'
_space_group_IT_number 44
_cell_length_a 4.458
_cell_length_b 12.635
_cell_length_c 7.623
_cell_angle_alpha 90.00
_cell_angle_beta 90.00
_cell_angle_gamma 90.00
loop_
_space_group_symop_operation_xyz
'x,y,z'
'-x,-y,z'
'-x,y,z'
'x,-y,z'
'x+1/2,y+1/2,z+1/2'
'-x+1/2,-y+1/2,z+1/2'
'-x+1/2,y+1/2,z+1/2'
'x+1/2,-y+1/2,z+1/2'
loop_
_atom_site_label
_atom_site_fract_x
_atom_site_fract_y
_atom_site_fract_z
Ba1 0.000 0.000 0.000
Ba2 0.000 0.299 0.189
Ga1 0.000 0.000 0.468
Ga2 0.000 0.397 0.784
```

Summary:
Calculated total energy in eV per atom: -2.772
Total magnetization in μB/cell: 0.000
Calculated volume in Å³/cell: 429.3

=====

No. 3
Computed, not measured: an optimized crystal structure of CaCeYAl at the GGA-PBE level of DFT.

```
data_CaCeYAl
_space_group_name_H-M_alt 'F -4 3 m'
_space_group_IT_number 216
_space_group_name_Hall 'F -4 2 3'
_cell_length_a 7.676
_cell_length_b 7.676
_cell_length_c 7.676
_cell_angle_alpha 90.00
_cell_angle_beta 90.00
_cell_angle_gamma 90.00
loop_
_atom_site_label
_atom_site_fract_x
_atom_site_fract_y
_atom_site_fract_z
Ca1 0.000 0.000 0.000
Ce1 0.250 0.250 0.250
Y1 0.250 0.250 0.750
Al1 0.000 0.000 0.500
```

Summary:
Calculated total energy in eV per atom: -4.518
Total magnetization in μB/cell: 5.186
Calculated volume in Å³/cell: 452.3

=====

No. 4
Computed, not measured: an optimized crystal structure of Sm2GdCu at the GGA-PBE level of DFT.

```
data_Sm2GdCu
_space_group_name_H-M_alt 'P 4/m m m'
_space_group_IT_number 123
_space_group_name_Hall '-P 4 2'
_cell_length_a 5.415
_cell_length_b 5.415
_cell_length_c 3.703
_cell_angle_alpha 90.00
_cell_angle_beta 90.00
_cell_angle_gamma 90.00
loop_
_atom_site_label
_atom_site_fract_x
_atom_site_fract_y
_atom_site_fract_z
Sm1 0.000 0.500 0.000
Gd1 0.000 0.000 0.500
Cu1 0.500 0.500 0.500
```

Summary:
Energy relative to the lowest polymorph listed for this composition in kJ per mole of atoms: 17.5
Total magnetization in μB/cell: 7.168
Calculated volume in Å³/cell: 108.6

=====

No. 5
Computed, not measured: an optimized crystal structure of Sr3Ir3N5 at the GGA-PBE level of DFT.

```
data_Sr3Ir3N5
_space_group_name_H-M_alt 'P -1'
_space_group_IT_number 2
_cell_length_a 6.557
_cell_length_b 7.718
_cell_length_c 8.048
_cell_angle_alpha 70.82
_cell_angle_beta 71.00
_cell_angle_gamma 81.83
loop_
_space_group_symop_operation_xyz
'x,y,z'
'-x,-y,-z'
loop_
_atom_site_label
_atom_site_fract_x
_atom_site_fract_y
_atom_site_fract_z
Sr1 0.028 0.195 0.282
Sr2 0.296 0.622 0.377
Sr3 0.372 0.908 0.898
Ir1 0.130 0.296 0.782
Ir2 0.313 0.497 0.921
Ir3 0.397 0.159 0.490
N1 0.108 0.277 0.552
N2 0.143 0.605 0.099
N3 0.323 0.968 0.410
N4 0.337 0.233 0.940
N5 0.383 0.648 0.666
```

Summary:
Total magnetization in μB/cell: 0.000
Calculated volume in Å³/cell: 363.4
E_form (uncorrected) in eV/atom: -0.173

=====

No. 6
Computed, not measured: an optimized crystal structure of Mn2RuSe at the GGA-PBE level of DFT.

```
data_Mn2RuSe
_space_group_name_H-M_alt 'C m m m'
_space_group_IT_number 65
_space_group_name_Hall '-C 2 2'
_cell_length_a 5.144
_cell_length_b 7.170
_cell_length_c 3.089
_cell_angle_alpha 90.00
_cell_angle_beta 90.00
_cell_angle_gamma 90.00
loop_
_atom_site_label
_atom_site_fract_x
_atom_site_fract_y
_atom_site_fract_z
Mn1 0.250 0.250 0.000
Ru1 0.000 0.000 0.500
Se1 0.000 0.500 0.500
```

Summary:
Total magnetization in μB/cell: 12.184
Calculated volume in Å³/cell: 113.9
E_form (uncorrected) in eV/atom: 0.180

=====

No. 7
Computed, not measured: an optimized crystal structure of CsGaSe2 at the GGA-PBE level of DFT.

```
data_CsGaSe2
_space_group_name_H-M_alt 'R 3 m'
_space_group_IT_number 160
_space_group_name_Hall 'R 3 -2"'
_cell_length_a 4.2135
_cell_length_b 4.2135
_cell_length_c 27.8323
_cell_angle_alpha 90.00
_cell_angle_beta 90.00
_cell_angle_gamma 120.00
loop_
_atom_site_label
_atom_site_fract_x
_atom_site_fract_y
_atom_site_fract_z
Cs1 0.0000 0.0000 0.0000
Ga1 0.0000 0.0000 0.5052
Se1 0.0000 0.0000 0.1340
Se2 0.0000 0.0000 0.5871
```

Summary:
Total magnetization in μB/cell: 0.000
Calculated volume in Å³/cell: 427.9
E_form (uncorrected) in eV/atom: -0.603

=====

No. 8
Computed, not measured: an optimized crystal structure of K2Ag3Sb4Pb at the GGA-PBE level of DFT.

```
data_K2Ag3Sb4Pb
_space_group_name_H-M_alt 'P -4 m 2'
_space_group_IT_number 115
_cell_length_a 4.920
_cell_length_b 4.920
_cell_length_c 12.172
_cell_angle_alpha 90.00
_cell_angle_beta 90.00
_cell_angle_gamma 90.00
loop_
_space_group_symop_operation_xyz
'x,y,z'
'y,-x,-z'
'-x,-y,z'
'-y,x,-z'
'-x,y,z'
'-y,-x,-z'
'x,-y,z'
'y,x,-z'
loop_
_atom_site_label
_atom_site_fract_x
_atom_site_fract_y
_atom_site_fract_z
K1 0.000 0.500 0.244
Ag1 0.000 0.500 0.872
Ag2 0.500 0.500 0.500
Sb1 0.000 0.000 0.000
Sb2 0.000 0.500 0.643
Sb3 0.500 0.500 0.000
Pb1 0.000 0.000 0.500
```

Summary:
Total magnetization in μB/cell: 0.000
Calculated volume in Å³/cell: 294.6
E_form (uncorrected) in eV/atom: -0.158

=====

No. 9
Computed, not measured: an optimized crystal structure of OsRh2 at the GGA-PBE level of DFT.

```
data_OsRh2
_space_group_name_H-M_alt 'P 4/m m m'
_space_group_IT_number 123
_space_group_name_Hall '-P 4 2'
_cell_length_a 4.373
_cell_length_b 4.373
_cell_length_c 2.735
_cell_angle_alpha 90.00
_cell_angle_beta 90.00
_cell_angle_gamma 90.00
loop_
_atom_site_label
_atom_site_fract_x
_atom_site_fract_y
_atom_site_fract_z
Os1 0.000 0.000 0.000
Rh1 0.000 0.500 0.500
```

Summary:
Energy relative to the lowest polymorph listed for this composition in kJ per mole of atoms: 70.2
Total magnetization in μB/cell: 0.000
Calculated volume in Å³/cell: 52.3

=====

No. 10
Computed, not measured: an optimized crystal structure of TlCoBi2 at the GGA-PBE level of DFT.

```
data_TlCoBi2
_space_group_name_H-M_alt 'R -3 m'
_space_group_IT_number 166
_space_group_name_Hall '-R 3 2"'
_cell_length_a 3.5230
_cell_length_b 3.5230
_cell_length_c 31.1070
_cell_angle_alpha 90.00
_cell_angle_beta 90.00
_cell_angle_gamma 120.00
loop_
_atom_site_label
_atom_site_fract_x
_atom_site_fract_y
_atom_site_fract_z
Tl1 0.0000 0.0000 0.0000
Co1 0.0000 0.0000 0.5000
Bi1 0.0000 0.0000 0.1109
```

Summary:
Energy relative to the lowest polymorph listed for this composition in kJ per mole of atoms: 0.0
Total magnetization in μB/cell: 1.353
Calculated volume in Å³/cell: 334.4

=====

No. 11
Computed, not measured: an optimized crystal structure of KDy2PdO4 at the GGA-PBE level of DFT.

```
data_KDy2PdO4
_space_group_name_H-M_alt 'I -4 2 m'
_space_group_IT_number 121
_space_group_name_Hall 'I -4 2'
_cell_length_a 5.229
_cell_length_b 5.229
_cell_length_c 11.059
_cell_angle_alpha 90.00
_cell_angle_beta 90.00
_cell_angle_gamma 90.00
loop_
_atom_site_label
_atom_site_fract_x
_atom_site_fract_y
_atom_site_fract_z
K1 0.000 0.000 0.000
Dy1 0.000 0.500 0.250
Pd1 0.000 0.000 0.500
O1 0.222 0.222 0.651
```

Summary:
Total magnetization in μB/cell: 2.004
Calculated volume in Å³/cell: 302.4
E_form (uncorrected) in eV/atom: -2.129

=====

No. 12
Computed, not measured: an optimized crystal structure of HfZn3Ni at the GGA-PBE level of DFT.

```
data_HfZn3Ni
_space_group_name_H-M_alt 'P m -3 m'
_space_group_IT_number 221
_space_group_name_Hall '-P 4 2 3'
_cell_length_a 5.124
_cell_length_b 5.124
_cell_length_c 5.124
_cell_angle_alpha 90.00
_cell_angle_beta 90.00
_cell_angle_gamma 90.00
loop_
_atom_site_label
_atom_site_fract_x
_atom_site_fract_y
_atom_site_fract_z
Hf1 0.000 0.000 0.000
Zn1 0.000 0.000 0.500
Ni1 0.500 0.500 0.500
```

Summary:
Energy relative to the lowest polymorph listed for this composition in kJ per mole of atoms: 159.1
Total magnetization in μB/cell: 0.591
Calculated volume in Å³/cell: 134.5

=====

No. 13
Computed, not measured: an optimized crystal structure of Pu3Co6Si2 at the GGA-PBE level of DFT.

```
data_Pu3Co6Si2
_space_group_name_H-M_alt 'I m -3 m'
_space_group_IT_number 229
_space_group_name_Hall '-I 4 2 3'
_cell_length_a 8.563
_cell_length_b 8.563
_cell_length_c 8.563
_cell_angle_alpha 90.00
_cell_angle_beta 90.00
_cell_angle_gamma 90.00
loop_
_atom_site_label
_atom_site_fract_x
_atom_site_fract_y
_atom_site_fract_z
Pu1 0.000 0.000 0.265
Co1 0.000 0.350 0.350
Si1 0.250 0.250 0.250
```

Summary:
Total magnetization in μB/cell: 40.965
Calculated volume in Å³/cell: 628.0
E_form (uncorrected) in eV/atom: -0.377

=====

No. 14
Computed, not measured: an optimized crystal structure of Tb3Tl2Ir at the GGA-PBE level of DFT.

```
data_Tb3Tl2Ir
_space_group_name_H-M_alt 'C 1 2/c 1'
_space_group_IT_number 15
_cell_length_a 18.092
_cell_length_b 5.407
_cell_length_c 7.438
_cell_angle_alpha 90.00
_cell_angle_beta 114.12
_cell_angle_gamma 90.00
loop_
_space_group_symop_operation_xyz
'x,y,z'
'-x,-y,-z'
'-x,y,-z+1/2'
'x,-y,z+1/2'
'x+1/2,y+1/2,z'
'-x+1/2,-y+1/2,-z'
'-x+1/2,y+1/2,-z+1/2'
'x+1/2,-y+1/2,z+1/2'
loop_
_atom_site_label
_atom_site_fract_x
_atom_site_fract_y
_atom_site_fract_z
Tb1 0.000 0.001 0.250
Tb2 0.128 0.500 0.128
Tl1 0.194 0.000 0.445
Ir1 0.000 0.499 0.750
```

Summary:
Calculated total energy in eV per atom: -5.032
Total magnetization in μB/cell: 0.000
Calculated volume in Å³/cell: 664.2

=====

No. 15
Computed, not measured: an optimized crystal structure of CdAgI2N at the GGA-PBE level of DFT.

```
data_CdAgI2N
_space_group_name_H-M_alt 'P 4/m m m'
_space_group_IT_number 123
_space_group_name_Hall '-P 4 2'
_cell_length_a 6.065
_cell_length_b 6.065
_cell_length_c 4.293
_cell_angle_alpha 90.00
_cell_angle_beta 90.00
_cell_angle_gamma 90.00
loop_
_atom_site_label
_atom_site_fract_x
_atom_site_fract_y
_atom_site_fract_z
Cd1 0.000 0.000 0.000
Ag1 0.500 0.500 0.500
I1 0.000 0.500 0.000
N1 0.000 0.000 0.500
```

Summary:
Energy relative to the lowest polymorph listed for this composition in kJ per mole of atoms: 0.0
Total magnetization in μB/cell: 2.010
Calculated volume in Å³/cell: 157.9
E_form (uncorrected) in eV/atom: 0.718

=====

No. 16
Computed, not measured: an optimized crystal structure of MgMnCrCo2 at the GGA-PBE level of DFT.

```
data_MgMnCrCo2
_space_group_name_H-M_alt 'P 4/m m m'
_space_group_IT_number 123
_space_group_name_Hall '-P 4 2'
_cell_length_a 4.283
_cell_length_b 4.283
_cell_length_c 4.193
_cell_angle_alpha 90.00
_cell_angle_beta 90.00
_cell_angle_gamma 90.00
loop_
_atom_site_label
_atom_site_fract_x
_atom_site_fract_y
_atom_site_fract_z
Mg1 0.000 0.000 0.000
Mn1 0.500 0.500 0.500
Cr1 0.500 0.500 0.000
Co1 0.000 0.500 0.500
```

Summary:
Calculated total energy in eV per atom: -6.072
Total magnetization in μB/cell: 2.305
Calculated volume in Å³/cell: 76.9

=====

No. 17
Computed, not measured: an optimized crystal structure of ScReSi2 at the GGA-PBE level of DFT.

```
data_ScReSi2
_space_group_name_H-M_alt 'C m m m'
_space_group_IT_number 65
_space_group_name_Hall '-C 2 2'
_cell_length_a 5.498
_cell_length_b 6.899
_cell_length_c 3.186
_cell_angle_alpha 90.00
_cell_angle_beta 90.00
_cell_angle_gamma 90.00
loop_
_atom_site_label
_atom_site_fract_x
_atom_site_fract_y
_atom_site_fract_z
Sc1 0.000 0.000 0.000
Re1 0.000 0.500 0.000
Si1 0.250 0.250 0.500
```

Summary:
Total magnetization in μB/cell: 0.000
Calculated volume in Å³/cell: 120.8
E_form (uncorrected) in eV/atom: -0.152

=====

No. 18
Computed, not measured: an optimized crystal structure of CdOsAu2 at the GGA-PBE level of DFT.

```
data_CdOsAu2
_space_group_name_H-M_alt 'P 4 m m'
_space_group_IT_number 99
_cell_length_a 2.853
_cell_length_b 2.853
_cell_length_c 8.592
_cell_angle_alpha 90.00
_cell_angle_beta 90.00
_cell_angle_gamma 90.00
loop_
_space_group_symop_operation_xyz
'x,y,z'
'-y,x,z'
'-x,-y,z'
'y,-x,z'
'-x,y,z'
'y,x,z'
'x,-y,z'
'-y,-x,z'
loop_
_atom_site_label
_atom_site_fract_x
_atom_site_fract_y
_atom_site_fract_z
Cd1 0.000 0.000 0.000
Os1 0.500 0.500 0.246
Au1 0.000 0.000 0.478
Au2 0.500 0.500 0.738
```

Summary:
Calculated total energy in eV per atom: -4.263
Total magnetization in μB/cell: 0.524
Calculated volume in Å³/cell: 70.0

=====

No. 19
Computed, not measured: an optimized crystal structure of Zn4GaNi5 at the GGA-PBE level of DFT.

```
data_Zn4GaNi5
_space_group_name_H-M_alt 'P 4/m m m'
_space_group_IT_number 123
_space_group_name_Hall '-P 4 2'
_cell_length_a 2.722
_cell_length_b 2.722
_cell_length_c 16.425
_cell_angle_alpha 90.00
_cell_angle_beta 90.00
_cell_angle_gamma 90.00
loop_
_atom_site_label
_atom_site_fract_x
_atom_site_fract_y
_atom_site_fract_z
Zn1 0.000 0.000 0.100
Zn2 0.000 0.000 0.299
Ga1 0.000 0.000 0.500
Ni1 0.500 0.500 0.000
Ni2 0.500 0.500 0.200
Ni3 0.500 0.500 0.402
```

Summary:
Calculated total energy in eV per atom: -3.980
Total magnetization in μB/cell: 0.000
Calculated volume in Å³/cell: 121.7